First-principles (PBE) data for a relaxed structure of BAuC, as listed in Alexandria.

Properties
Energy of formation = 0.546 eV/atom

Unit cell a=4.221 b=6.733 c=4.828 alpha=104.54 beta=77.64 gamma=60.96
Element x y z (fractional)
Au  0.350  0.171  0.451
Au  0.932  0.001  0.843
B  0.000  0.011  0.366
B  0.715  0.283  0.655
C  0.241  0.766  0.091
C  0.454  0.548  0.878

First-principles (PBE) data for a relaxed structure of BAuC, as listed in Alexandria.

Properties
Energy of formation = 0.670 eV/atom

Unit cell a=4.048 b=5.917 c=5.383 alpha=107.35 beta=126.04 gamma=99.57
Element x y z (fractional)
Au  0.934  0.970  0.903
Au  0.203  0.115  0.563
B  0.645  0.181  0.108
B  0.289  0.463  0.459
C  0.709  0.584  0.530
C  0.888  0.466  0.413

First-principles (PBE) data for a relaxed structure of BAuC, as listed in Alexandria.

Properties
Energy of formation = 0.521 eV/atom

Unit cell a=4.352 b=5.823 c=4.352 alpha=90.00 beta=94.16 gamma=90.00
Element x y z (fractional)
B  0.005  0.990  0.344
B  0.005  0.270  0.344
C  0.008  0.737  0.347
C  0.008  0.523  0.347
Au  0.494  0.130  0.290
Au  0.952  0.130  0.833

First-principles (PBE) data for a relaxed structure of BAuC, as listed in Alexandria.

Properties
Energy of formation = 0.469 eV/atom

Unit cell a=2.773 b=2.773 c=10.167 alpha=90.00 beta=90.00 gamma=120.00
Element x y z (fractional)
B  0.667  0.333  0.750
B  0.333  0.667  0.250
Au  0.000  0.000  0.500
Au  0.000  0.000  0.000
C  0.667  0.333  0.250
C  0.333  0.667  0.750

First-principles (PBE) data for a relaxed structure of BAuC, as listed in Alexandria.

Properties
Energy of formation = 0.522 eV/atom

Unit cell a=2.853 b=2.853 c=8.217 alpha=90.00 beta=90.00 gamma=90.00
Element x y z (fractional)
C  0.500  0.000  0.394
C  0.000  0.500  0.606
Au  0.000  0.500  0.866
Au  0.500  0.000  0.134
B  0.500  0.500  0.500
B  0.000  0.000  0.500

First-principles (PBE) data for a relaxed structure of BAuC, as listed in Alexandria.

Properties
Energy of formation = 0.614 eV/atom

Unit cell a=4.076 b=4.488 c=5.477 alpha=105.99 beta=111.76 gamma=90.17
Element x y z (fractional)
Au  0.940  0.904  0.539
Au  0.099  0.514  0.856
B  0.181  0.097  0.021
B  0.874  0.405  0.406
C  0.926  0.147  0.171
C  0.586  0.147  0.171

First-principles (PBE) data for a relaxed structure of BAuC, as listed in Alexandria.

Properties
Energy of formation = 0.866 eV/atom

Unit cell a=4.090 b=4.090 c=5.784 alpha=90.00 beta=90.00 gamma=120.00
Element x y z (fractional)
Au  0.333  0.667  0.250
Au  0.667  0.333  0.750
B  0.000  0.000  0.750
B  0.000  0.000  0.250
C  0.000  0.000  0.000
C  0.000  0.000  0.500

First-principles (PBE) data for a relaxed structure of B3AuC, as listed in Alexandria.

Properties
Relative energy among the computed polymorphs = 5.28 eV per formula unit
Energy of formation = 2.855 eV/atom

Unit cell a=4.141 b=4.141 c=4.141 alpha=90.00 beta=90.00 gamma=90.00
Each line ends with the local moment (μB).
Element x y z (fractional)
C  0.500  0.500  0.500  0.76
B  0.000  0.500  0.000  0.07
B  0.000  0.000  0.500  0.06
B  0.500  0.000  0.000  0.07
Au  0.000  0.000  0.000  0.06

First-principles (PBE) data for a relaxed structure of BAuC, as listed in Alexandria.

Properties
Energy of formation = 0.621 eV/atom

Unit cell a=6.996 b=4.258 c=4.948 alpha=125.53 beta=69.25 gamma=78.95
Element x y z (fractional)
Au  0.204  0.430  0.501
Au  0.704  0.930  0.182
B  0.955  0.249  0.126
B  0.455  0.751  0.625
C  0.705  0.538  0.316
C  0.205  0.039  0.974

First-principles (PBE) data for a relaxed structure of BAuC, as listed in Alexandria.

Properties
Energy of formation = 0.797 eV/atom

Unit cell a=2.827 b=2.827 c=8.260 alpha=90.00 beta=90.00 gamma=90.00
Element x y z (fractional)
B  0.500  0.500  0.500
B  0.000  0.000  0.500
C  0.000  0.500  0.395
C  0.500  0.000  0.605
Au  0.500  0.000  0.134
Au  0.000  0.500  0.866

First-principles (PBE) data for a relaxed structure of BAuC, as listed in Alexandria.

Properties
Energy of formation = 0.637 eV/atom

Unit cell a=2.818 b=3.140 c=4.185 alpha=90.00 beta=109.87 gamma=90.00
Element x y z (fractional)
C  0.009  0.500  0.747
Au  0.798  0.000  0.327
B  0.581  0.500  0.890

First-principles (PBE) data for a relaxed structure of BAuC, as listed in Alexandria.

Properties
Energy of formation = 0.506 eV/atom

Unit cell a=5.421 b=5.419 c=5.421 alpha=68.51 beta=80.17 gamma=117.60
Element x y z (fractional)
C  0.288  0.354  0.127
C  0.788  0.959  0.023
B  0.022  0.157  0.091
B  0.553  0.657  0.059
Au  0.585  0.204  0.075
Au  0.991  0.110  0.575

First-principles (PBE) data for a relaxed structure of B3AuC, as listed in Alexandria.

Properties
Relative energy among the computed polymorphs = 0.00 eV per formula unit
Energy of formation = 1.798 eV/atom

Unit cell a=3.591 b=3.591 c=3.591 alpha=90.00 beta=90.00 gamma=90.00
Element x y z (fractional)
B  0.500  0.000  0.000
B  0.000  0.000  0.500
B  0.000  0.500  0.000
Au  0.500  0.500  0.500
C  0.000  0.000  0.000

First-principles (PBE) data for a relaxed structure of BAuC, as listed in Alexandria.

Properties
Energy of formation = 0.320 eV/atom

Unit cell a=2.812 b=2.812 c=4.681 alpha=90.00 beta=90.00 gamma=120.00
Element x y z (fractional)
B  0.667  0.333  0.000
C  0.333  0.667  0.000
Au  0.333  0.667  0.500

First-principles (PBE) data for a relaxed structure of BAuC, as listed in Alexandria.

Properties
Energy of formation = 0.509 eV/atom

Unit cell a=6.753 b=5.508 c=6.922 alpha=90.00 beta=90.00 gamma=90.00
Element x y z (fractional)
C  0.000  0.250  0.061
C  0.500  0.750  0.561
C  0.000  0.750  0.939
C  0.500  0.250  0.439
Au  0.750  0.750  0.750
Au  0.250  0.750  0.750
Au  0.250  0.250  0.250
Au  0.750  0.250  0.250
B  0.000  0.000  0.000
B  0.000  0.500  0.000
B  0.500  0.000  0.500
B  0.500  0.500  0.500

First-principles (PBE) data for a relaxed structure of BAuC, as listed in Alexandria.

Properties
Energy of formation = 0.616 eV/atom

Unit cell a=3.310 b=7.047 c=7.118 alpha=52.14 beta=62.29 gamma=61.98
Element x y z (fractional)
Au  0.066  0.249  0.926
Au  0.545  0.249  0.447
B  0.677  0.007  0.307
B  0.177  0.007  0.307
C  0.173  0.515  0.554
C  0.054  0.754  0.434

First-principles (PBE) data for a relaxed structure of BAuC, as listed in Alexandria.

Properties
Energy of formation = 0.525 eV/atom

Unit cell a=4.195 b=5.688 c=4.972 alpha=76.32 beta=90.00 gamma=90.01
Element x y z (fractional)
Au  0.834  0.129  0.834
Au  0.517  0.130  0.334
B  0.024  0.010  0.257
B  0.024  0.250  0.411
C  0.037  0.518  0.352
C  0.037  0.742  0.317

First-principles (PBE) data for a relaxed structure of BAuC, as listed in Alexandria.

Properties
Energy of formation = 0.627 eV/atom

Unit cell a=2.892 b=4.208 c=6.570 alpha=90.00 beta=90.00 gamma=90.00
Element x y z (fractional)
B  0.000  0.000  0.855
B  0.500  0.500  0.355
C  0.500  0.000  0.790
C  0.000  0.500  0.290
Au  0.500  0.500  0.701
Au  0.000  0.000  0.201

First-principles (PBE) data for a relaxed structure of BAuC, as listed in Alexandria.

Properties
Energy of formation = 0.699 eV/atom

Unit cell a=5.452 b=4.002 c=5.132 alpha=90.39 beta=109.30 gamma=114.26
Element x y z (fractional)
Au  0.993  0.327  0.881
Au  0.491  0.167  0.389
C  0.940  0.457  0.462
C  0.012  0.801  0.358
B  0.990  0.158  0.334
B  0.046  0.870  0.080

First-principles (PBE) data for a relaxed structure of CrBAuC, as listed in Alexandria.

Properties
Relative energy among the computed polymorphs = 0.05 eV per formula unit
Energy of formation = 0.192 eV/atom

Unit cell a=4.887 b=2.751 c=7.250 alpha=90.00 beta=104.20 gamma=90.00
Element x y z (fractional)
B  0.352  0.500  0.144
B  0.352  0.000  0.644
Cr  0.279  0.500  0.845
Cr  0.279  0.000  0.345
Au  0.785  0.500  0.353
Au  0.785  0.000  0.853
C  0.246  0.000  0.049
C  0.246  0.500  0.549